## P
{
  "formula": "GaSb2I",
  "functional": "PBE-GGA",
  "state": "relaxed",
  "cell": [[7.529, 0.000, 0.000], [0.000, 7.529, 0.000], [3.764, 3.764, 5.032]],
  "species": ["I", "I", "Sb", "Sb", "Sb", "Sb", "Ga", "Ga"],
  "frac_coords": [[0.000, 0.000, 0.000], [0.750, 0.250, 0.500], [0.566, 0.125, 0.250], [0.184, 0.625, 0.250], [0.375, 0.434, 0.750], [0.875, 0.816, 0.750], [0.500, 0.500, 0.000], [0.250, 0.750, 0.500]],
  "m_tot_mub_per_cell": 0.00,
  "spacegroup": "I-42d, No. 122"
}

## Q
{
  "formula": "GaSb2I",
  "functional": "PBE-GGA",
  "state": "relaxed",
  "cell": [[2.597, -4.663, -0.471], [-2.755, -4.590, -0.218], [-0.254, -2.757, -4.587]],
  "species": ["I", "Sb", "Sb", "Ga"],
  "frac_coords": [[0.500, 0.500, 0.500], [0.250, 0.250, 0.250], [0.750, 0.750, 0.750], [0.000, 0.000, 0.000]],
  "m_tot_mub_per_cell": 0.00,
  "spacegroup": "Fm-3m, No. 225"
}

Most stable: P

## P
{
  "formula": "ScGaSb2I",
  "functional": "PBE-GGA",
  "state": "relaxed",
  "cell": [[-1.058, 1.034, 5.051], [-2.324, -4.698, 0.475], [4.907, -2.276, 1.494]],
  "species": ["I", "Sb", "Sb", "Sc", "Ga"],
  "frac_coords": [[0.000, 0.000, 0.500], [0.000, 0.500, 0.000], [0.500, 0.000, 0.000], [0.500, 0.500, 0.500], [0.000, 0.000, 0.000]],
  "m_tot_mub_per_cell": 0.00,
  "spacegroup": "P4/mmm, No. 123"
}

## Q
{
  "formula": "ScGaSb2I",
  "functional": "PBE-GGA",
  "state": "relaxed",
  "cell": [[-5.136, 1.964, -0.550], [-1.453, -2.477, 4.722], [1.512, 4.788, 2.978]],
  "species": ["I", "Sb", "Sb", "Sc", "Ga"],
  "frac_coords": [[0.000, 0.000, 0.500], [0.000, 0.500, 0.000], [0.500, 0.000, 0.000], [0.000, 0.000, 0.000], [0.500, 0.500, 0.500]],
  "m_tot_mub_per_cell": 0.00,
  "spacegroup": "P4/mmm, No. 123"
}

Most stable: Q

## P
{
  "formula": "GaSb2SeI",
  "functional": "PBE-GGA",
  "state": "relaxed",
  "cell": [[5.473, 0.000, 0.000], [0.000, 5.473, 0.000], [0.000, 0.000, 5.950]],
  "species": ["I", "Sb", "Sb", "Ga", "Se"],
  "frac_coords": [[0.000, 0.000, 0.500], [0.000, 0.500, 0.000], [0.500, 0.000, 0.000], [0.500, 0.500, 0.500], [0.000, 0.000, 0.000]],
  "m_tot_mub_per_cell": 0.82,
  "spacegroup": "P4/mmm, No. 123"
}

## Q
{
  "formula": "GaSb2SeI",
  "functional": "PBE-GGA",
  "state": "relaxed",
  "cell": [[5.446, 0.000, 0.000], [0.000, 5.446, 0.000], [0.000, 0.000, 5.285]],
  "species": ["I", "Sb", "Sb", "Ga", "Se"],
  "frac_coords": [[0.000, 0.000, 0.500], [0.000, 0.500, 0.000], [0.500, 0.000, 0.000], [0.000, 0.000, 0.000], [0.500, 0.500, 0.500]],
  "m_tot_mub_per_cell": 0.00,
  "spacegroup": "P4/mmm, No. 123"
}

Most stable: P

## P
{
  "formula": "GaSbSeI2",
  "functional": "PBE-GGA",
  "state": "relaxed",
  "cell": [[-5.651, 1.132, 1.445], [-1.787, -4.463, -3.491], [0.385, -3.435, 4.194]],
  "species": ["I", "I", "Sb", "Ga", "Se"],
  "frac_coords": [[0.000, 0.500, 0.000], [0.500, 0.000, 0.000], [0.000, 0.000, 0.500], [0.500, 0.500, 0.500], [0.000, 0.000, 0.000]],
  "m_tot_mub_per_cell": 0.00,
  "spacegroup": "P4/mmm, No. 123"
}

## Q
{
  "formula": "GaSbSeI2",
  "functional": "PBE-GGA",
  "state": "relaxed",
  "cell": [[5.428, 0.000, 0.000], [0.000, 5.428, 0.000], [0.000, 0.000, 5.717]],
  "species": ["I", "I", "Sb", "Ga", "Se"],
  "frac_coords": [[0.000, 0.500, 0.000], [0.500, 0.000, 0.000], [0.000, 0.000, 0.500], [0.000, 0.000, 0.000], [0.500, 0.500, 0.500]],
  "m_tot_mub_per_cell": 0.48,
  "spacegroup": "P4/mmm, No. 123"
}

Most stable: P

## P
{
  "formula": "GaSiSbI2",
  "functional": "PBE-GGA",
  "state": "relaxed",
  "cell": [[5.603, 0.000, 0.000], [0.000, 5.603, 0.000], [0.000, 0.000, 5.413]],
  "species": ["I", "I", "Sb", "Si", "Ga"],
  "frac_coords": [[0.000, 0.500, 0.000], [0.500, 0.000, 0.000], [0.000, 0.000, 0.500], [0.000, 0.000, 0.000], [0.500, 0.500, 0.500]],
  "m_tot_mub_per_cell": 0.00,
  "spacegroup": "P4/mmm, No. 123"
}

## Q
{
  "formula": "GaSiSbI2",
  "functional": "PBE-GGA",
  "state": "relaxed",
  "cell": [[5.519, 0.000, 0.000], [0.000, 5.519, 0.000], [0.000, 0.000, 5.480]],
  "species": ["I", "I", "Sb", "Si", "Ga"],
  "frac_coords": [[0.000, 0.500, 0.000], [0.500, 0.000, 0.000], [0.000, 0.000, 0.500], [0.500, 0.500, 0.500], [0.000, 0.000, 0.000]],
  "m_tot_mub_per_cell": 0.00,
  "spacegroup": "P4/mmm, No. 123"
}

Most stable: P

## P
{
  "formula": "GaSnSbI2",
  "functional": "PBE-GGA",
  "state": "relaxed",
  "cell": [[-3.151, -3.268, 3.257], [2.947, -4.460, -1.624], [3.511, 0.793, 4.192]],
  "species": ["I", "I", "Sb", "Sn", "Ga"],
  "frac_coords": [[0.000, 0.500, 0.000], [0.500, 0.000, 0.000], [0.000, 0.000, 0.500], [0.500, 0.500, 0.500], [0.000, 0.000, 0.000]],
  "m_tot_mub_per_cell": 0.00,
  "spacegroup": "P4/mmm, No. 123"
}

## Q
{
  "formula": "GaSnSbI2",
  "functional": "PBE-GGA",
  "state": "relaxed",
  "cell": [[6.136, 0.000, 0.000], [0.000, 6.136, 0.000], [0.000, 0.000, 5.894]],
  "species": ["I", "I", "Sb", "Sn", "Ga"],
  "frac_coords": [[0.000, 0.500, 0.000], [0.500, 0.000, 0.000], [0.000, 0.000, 0.500], [0.000, 0.000, 0.000], [0.500, 0.500, 0.500]],
  "m_tot_mub_per_cell": 1.62,
  "spacegroup": "P4/mmm, No. 123"
}

Most stable: Q

## P
{
  "formula": "SrGaSbI2",
  "functional": "PBE-GGA",
  "state": "relaxed",
  "cell": [[-3.640, 3.898, 3.446], [-4.659, -0.570, -4.276], [-2.400, -5.162, 3.304]],
  "species": ["I", "I", "Sb", "Ga", "Sr"],
  "frac_coords": [[0.000, 0.500, 0.000], [0.500, 0.000, 0.000], [0.000, 0.000, 0.500], [0.500, 0.500, 0.500], [0.000, 0.000, 0.000]],
  "m_tot_mub_per_cell": 2.01,
  "spacegroup": "P4/mmm, No. 123"
}

## Q
{
  "formula": "SrGaSbI2",
  "functional": "PBE-GGA",
  "state": "relaxed",
  "cell": [[-5.416, 1.010, 1.755], [-1.760, -4.824, -2.656], [0.946, -2.859, 4.564]],
  "species": ["I", "I", "Sb", "Ga", "Sr"],
  "frac_coords": [[0.000, 0.500, 0.000], [0.500, 0.000, 0.000], [0.000, 0.000, 0.500], [0.000, 0.000, 0.000], [0.500, 0.500, 0.500]],
  "m_tot_mub_per_cell": 0.35,
  "spacegroup": "P4/mmm, No. 123"
}

Most stable: Q

## P
{
  "formula": "GaTcSb2I",
  "functional": "PBE-GGA",
  "state": "relaxed",
  "cell": [[5.083, 0.000, 0.000], [0.000, 5.083, 0.000], [0.000, 0.000, 6.047]],
  "species": ["I", "Sb", "Sb", "Tc", "Ga"],
  "frac_coords": [[0.000, 0.000, 0.500], [0.000, 0.500, 0.000], [0.500, 0.000, 0.000], [0.000, 0.000, 0.000], [0.500, 0.500, 0.500]],
  "m_tot_mub_per_cell": 0.00,
  "spacegroup": "P4/mmm, No. 123"
}

## Q
{
  "formula": "GaTcSb2I",
  "functional": "PBE-GGA",
  "state": "relaxed",
  "cell": [[5.312, 0.000, 0.000], [0.000, 5.312, 0.000], [0.000, 0.000, 5.501]],
  "species": ["I", "Sb", "Sb", "Tc", "Ga"],
  "frac_coords": [[0.000, 0.000, 0.500], [0.000, 0.500, 0.000], [0.500, 0.000, 0.000], [0.500, 0.500, 0.500], [0.000, 0.000, 0.000]],
  "m_tot_mub_per_cell": 3.46,
  "spacegroup": "P4/mmm, No. 123"
}

Most stable: P

## P
{
  "formula": "GaSbTeI2",
  "functional": "PBE-GGA",
  "state": "relaxed",
  "cell": [[6.075, 0.000, 0.000], [0.000, 6.075, 0.000], [0.000, 0.000, 5.798]],
  "species": ["I", "I", "Sb", "Te", "Ga"],
  "frac_coords": [[0.000, 0.500, 0.000], [0.500, 0.000, 0.000], [0.000, 0.000, 0.000], [0.000, 0.000, 0.500], [0.500, 0.500, 0.500]],
  "m_tot_mub_per_cell": 0.00,
  "spacegroup": "P4/mmm, No. 123"
}

## Q
{
  "formula": "GaSbTeI2",
  "functional": "PBE-GGA",
  "state": "relaxed",
  "cell": [[-1.142, 2.638, 5.493], [-2.215, -5.387, 2.127], [5.293, -1.464, 1.803]],
  "species": ["I", "I", "Sb", "Te", "Ga"],
  "frac_coords": [[0.000, 0.500, 0.000], [0.500, 0.000, 0.000], [0.000, 0.000, 0.500], [0.000, 0.000, 0.000], [0.500, 0.500, 0.500]],
  "m_tot_mub_per_cell": 0.00,
  "spacegroup": "P4/mmm, No. 123"
}

Most stable: P

## P
{
  "formula": "TlGaSbI2",
  "functional": "PBE-GGA",
  "state": "relaxed",
  "cell": [[-4.901, -0.790, -3.359], [3.295, -2.805, -4.147], [-0.927, -4.738, 2.468]],
  "species": ["I", "I", "Sb", "Tl", "Ga"],
  "frac_coords": [[0.000, 0.500, 0.000], [0.500, 0.000, 0.000], [0.000, 0.000, 0.500], [0.500, 0.500, 0.500], [0.000, 0.000, 0.000]],
  "m_tot_mub_per_cell": 1.61,
  "spacegroup": "P4/mmm, No. 123"
}

## Q
{
  "formula": "TlGaSbI2",
  "functional": "PBE-GGA",
  "state": "relaxed",
  "cell": [[6.413, 0.000, 0.000], [0.000, 6.413, 0.000], [0.000, 0.000, 5.798]],
  "species": ["I", "I", "Sb", "Tl", "Ga"],
  "frac_coords": [[0.000, 0.500, 0.000], [0.500, 0.000, 0.000], [0.000, 0.000, 0.500], [0.000, 0.000, 0.000], [0.500, 0.500, 0.500]],
  "m_tot_mub_per_cell": 1.93,
  "spacegroup": "P4/mmm, No. 123"
}

Most stable: P

## P
{
  "formula": "GaSb2WI",
  "functional": "PBE-GGA",
  "state": "relaxed",
  "cell": [[5.246, 0.000, 0.000], [0.000, 5.246, 0.000], [0.000, 0.000, 5.412]],
  "species": ["I", "Sb", "Sb", "Ga", "W"],
  "frac_coords": [[0.000, 0.000, 0.500], [0.000, 0.500, 0.000], [0.500, 0.000, 0.000], [0.000, 0.000, 0.000], [0.500, 0.500, 0.500]],
  "m_tot_mub_per_cell": 3.39,
  "spacegroup": "P4/mmm, No. 123"
}

## Q
{
  "formula": "GaSb2WI",
  "functional": "PBE-GGA",
  "state": "relaxed",
  "cell": [[-2.714, 0.796, -4.363], [-4.299, -1.733, 2.357], [-1.271, 5.626, 1.817]],
  "species": ["I", "Sb", "Sb", "Ga", "W"],
  "frac_coords": [[0.000, 0.000, 0.500], [0.000, 0.500, 0.000], [0.500, 0.000, 0.000], [0.500, 0.500, 0.500], [0.000, 0.000, 0.000]],
  "m_tot_mub_per_cell": 0.66,
  "spacegroup": "P4/mmm, No. 123"
}

Most stable: Q

## P
{
  "formula": "ZrGaSb2I",
  "functional": "PBE-GGA",
  "state": "relaxed",
  "cell": [[5.550, 0.000, 0.000], [0.000, 5.550, 0.000], [0.000, 0.000, 5.982]],
  "species": ["I", "Sb", "Sb", "Ga", "Zr"],
  "frac_coords": [[0.000, 0.000, 0.500], [0.000, 0.500, 0.000], [0.500, 0.000, 0.000], [0.500, 0.500, 0.500], [0.000, 0.000, 0.000]],
  "m_tot_mub_per_cell": 0.00,
  "spacegroup": "P4/mmm, No. 123"
}

## Q
{
  "formula": "ZrGaSb2I",
  "functional": "PBE-GGA",
  "state": "relaxed",
  "cell": [[-3.871, -3.522, 0.157], [0.296, -0.558, -5.198], [3.660, -3.994, 0.637]],
  "species": ["I", "Sb", "Sb", "Ga", "Zr"],
  "frac_coords": [[0.000, 0.000, 0.500], [0.000, 0.500, 0.000], [0.500, 0.000, 0.000], [0.000, 0.000, 0.000], [0.500, 0.500, 0.500]],
  "m_tot_mub_per_cell": 0.82,
  "spacegroup": "P4/mmm, No. 123"
}

Most stable: P

## P
{
  "formula": "ScGaI2",
  "functional": "PBE-GGA",
  "state": "relaxed",
  "cell": [[-5.149, -0.634, 1.497], [-3.676, 3.725, -1.330], [-3.768, -1.126, -3.700]],
  "species": ["I", "I", "Sc", "Ga"],
  "frac_coords": [[0.250, 0.250, 0.250], [0.750, 0.750, 0.750], [0.000, 0.000, 0.000], [0.500, 0.500, 0.500]],
  "m_tot_mub_per_cell": 1.72,
  "spacegroup": "Fm-3m, No. 225"
}

## Q
{
  "formula": "ScGaI2",
  "functional": "PBE-GGA",
  "state": "relaxed",
  "cell": [[10.568, 0.000, 0.000], [0.000, 10.568, 0.000], [5.284, 5.284, 2.831]],
  "species": ["I", "I", "I", "I", "Sc", "Sc", "Ga", "Ga"],
  "frac_coords": [[0.467, 0.125, 0.250], [0.283, 0.625, 0.250], [0.375, 0.533, 0.750], [0.875, 0.717, 0.750], [0.500, 0.500, 0.000], [0.250, 0.750, 0.500], [0.000, 0.000, 0.000], [0.750, 0.250, 0.500]],
  "m_tot_mub_per_cell": 0.00,
  "spacegroup": "I-42d, No. 122"
}

Most stable: Q

## P
{
  "formula": "ScGaTeI2",
  "functional": "PBE-GGA",
  "state": "relaxed",
  "cell": [[5.499, 0.000, 0.000], [0.000, 5.499, 0.000], [0.000, 0.000, 5.564]],
  "species": ["I", "I", "Sc", "Te", "Ga"],
  "frac_coords": [[0.000, 0.500, 0.000], [0.500, 0.000, 0.000], [0.500, 0.500, 0.500], [0.000, 0.000, 0.500], [0.000, 0.000, 0.000]],
  "m_tot_mub_per_cell": 0.85,
  "spacegroup": "P4/mmm, No. 123"
}

## Q
{
  "formula": "ScGaTeI2",
  "functional": "PBE-GGA",
  "state": "relaxed",
  "cell": [[5.794, 0.000, 0.000], [0.000, 5.794, 0.000], [0.000, 0.000, 5.615]],
  "species": ["I", "I", "Sc", "Te", "Ga"],
  "frac_coords": [[0.000, 0.500, 0.000], [0.500, 0.000, 0.000], [0.000, 0.000, 0.000], [0.000, 0.000, 0.500], [0.500, 0.500, 0.500]],
  "m_tot_mub_per_cell": 0.00,
  "spacegroup": "P4/mmm, No. 123"
}

Most stable: Q